No. 1
Compound: Pu6SiH8
Source: Alexandria
Functional: PBE-GGA
Structure: optimized geometry

The structure in POSCAR format:
```
Pu6SiH8
1.0
-1.524 -3.405 -4.949
4.396 -3.024 -3.154
0.144 -7.253 1.065
Pu Si H
6 1 8
direct
0.463 0.083 0.746
0.917 0.292 0.254
0.292 0.537 0.254
0.708 0.463 0.746
0.083 0.708 0.746
0.537 0.917 0.254
0.000 0.000 0.000
0.586 0.155 0.394
0.845 0.135 0.606
0.135 0.414 0.606
0.665 0.665 0.004
0.335 0.335 0.996
0.865 0.586 0.394
0.155 0.865 0.394
0.414 0.845 0.606
```

Properties
DOS(E_F) = 41.3 states/eV/cell
Total energy = -121.8 eV per cell
Volume = 212.90 Å³/cell

No. 2
Compound: TlInPd2
Source: Alexandria
Functional: PBE-GGA
Structure: optimized geometry

The structure in POSCAR format:
```
TlInPd2
1.0
5.730 0.000 0.000
0.000 5.258 0.203
0.000 -0.415 10.445
Tl In Pd
4 4 8
direct
0.325 0.539 0.625
0.675 0.461 0.375
0.325 0.961 0.875
0.675 0.039 0.125
0.336 0.954 0.378
0.664 0.046 0.622
0.336 0.546 0.122
0.664 0.454 0.878
0.841 0.950 0.863
0.159 0.050 0.137
0.841 0.550 0.637
0.159 0.450 0.363
0.855 0.545 0.118
0.145 0.455 0.882
0.855 0.955 0.382
0.145 0.045 0.618
```

Properties
DOS(E_F) = 5.8 states/eV/cell
Calculated formation energy = -92 kJ/mol of formula units
Volume = 315.18 Å³/cell

No. 3
Compound: CdFeIr2
Source: Alexandria
Functional: PBE-GGA
Structure: optimized geometry

The structure in POSCAR format:
```
CdFeIr2
1.0
-2.635 -0.506 -4.617
-1.975 -2.508 4.280
-2.405 1.276 0.465
Cd Fe Ir
1 1 2
direct
0.500 0.000 0.500
0.000 0.500 0.500
0.000 0.000 0.000
0.500 0.500 0.000
```

Properties
DOS(E_F) = 4.3 states/eV/cell
Calculated formation energy = 113 kJ/mol of formula units
Volume = 61.67 Å³/cell

No. 4
Compound: ScPPb
Source: Alexandria
Functional: PBE-GGA
Structure: optimized geometry

The structure in POSCAR format:
```
ScPPb
1.0
1.653 1.230 3.279
-2.584 2.235 -1.823
-4.246 -2.421 3.048
Sc P Pb
1 1 1
direct
0.333 0.667 0.743
0.000 0.000 0.947
0.667 0.333 0.310
```

Properties
DOS(E_F) = 1.8 states/eV/cell
Calculated formation energy = -97 kJ/mol of formula units
Energy above the lowest structure with this stoichiometry = 315 meV/atom
Volume = 74.82 Å³/cell

No. 5
Compound: Hf2PC
Source: Alexandria
Functional: PBE-GGA
Structure: optimized geometry

The structure in POSCAR format:
```
Hf2PC
1.0
3.574 0.000 0.000
0.000 6.045 0.000
0.000 0.000 11.798
Hf P C
8 4 4
direct
0.750 0.216 0.513
0.250 0.284 0.013
0.250 0.784 0.487
0.750 0.716 0.987
0.750 0.661 0.256
0.250 0.839 0.756
0.250 0.339 0.744
0.750 0.161 0.244
0.750 0.594 0.640
0.250 0.906 0.140
0.250 0.406 0.360
0.750 0.094 0.860
0.750 0.919 0.396
0.250 0.581 0.896
0.250 0.081 0.604
0.750 0.419 0.104
```

Properties
DOS(E_F) = 4.3 states/eV/cell
Calculated formation energy = -358 kJ/mol of formula units
Volume = 254.86 Å³/cell

No. 6
Compound: Pu3Pd2Pt7
Source: Alexandria
Functional: PBE-GGA
Structure: optimized geometry

The structure in POSCAR format:
```
Pu3Pd2Pt7
1.0
5.165 0.000 1.617
2.329 4.610 1.617
-0.115 -0.071 9.426
Pu Pd Pt
3 2 7
direct
0.000 0.000 0.000
0.859 0.859 0.424
0.141 0.141 0.576
0.667 0.667 0.998
0.333 0.333 0.002
0.500 0.500 0.500
0.918 0.413 0.255
0.413 0.918 0.255
0.413 0.413 0.255
0.082 0.587 0.745
0.587 0.587 0.745
0.587 0.082 0.745
```

Properties
DOS(E_F) = 38.8 states/eV/cell
Calculated formation energy = -785 kJ/mol of formula units
Volume = 225.60 Å³/cell